Compound: CuReTeF2
Source: Alexandria
Functional: meta-GGA SCAN
Structure: single point on PBEsol structure

Unit cell a=3.8474 b=3.8474 c=5.6576 alpha=90.00 beta=90.00 gamma=90.00
Fractional positions:
Re 0.5000 0.5000 0.5000
Te 0.0000 0.0000 0.5000
Cu 0.0000 0.0000 0.0000
F 0.0000 0.5000 0.0000
F 0.5000 0.0000 0.0000

Calculated values
- ΔE_f (raw) (eV/atom) = -0.19
- magnetization (μB/f.u.) = 3.041

---

Compound: HoBiPt
Source: Alexandria
Functional: meta-GGA SCAN
Structure: single point on PBEsol structure

Unit cell a=4.6830 b=4.6830 c=4.6830 alpha=60.00 beta=60.00 gamma=60.00
Fractional positions:
Bi 0.0000 0.0000 0.0000
Pt 0.7500 0.7500 0.7500
Ho 0.5000 0.5000 0.5000

Calculated values
- ΔH_f (0 K) (meV per atom) = -1280
- magnetization (μB/f.u.) = 0.000

---

Compound: ZrZn2Sb
Source: Alexandria
Functional: meta-GGA SCAN
Structure: single point on PBEsol structure

Unit cell a=3.1627 b=3.1627 c=9.2393 alpha=80.14 beta=80.14 gamma=60.00
Fractional positions:
Sb 0.2517 0.2517 0.2450
Zn 0.0085 0.0085 0.9744
Zn 0.7447 0.7447 0.7660
Zr 0.4951 0.4951 0.5146

Calculated values
- ΔE_f (raw) (eV/atom) = -0.01
- magnetization (μB/f.u.) = 0.000